No. 1
Density functional theory data (PBE) for a geometry-optimized AgPdCl3 structure.

Lattice parameters (Å, degrees): 4.1604 8.1610 8.1899 103.96 95.07 95.02
Fractional positions:
Ag 0.0089 0.1203 0.3823
Ag 0.9911 0.8797 0.6177
Pd 0.1666 0.6656 0.1665
Pd 0.8334 0.3344 0.8335
Cl 0.0066 0.6240 0.8771
Cl 0.3295 0.6892 0.4501
Cl 0.3415 0.9489 0.1917
Cl 0.6585 0.0511 0.8083
Cl 0.6705 0.3108 0.5499
Cl 0.9934 0.3760 0.1229

The total magnetization comes out at 0.000 μB/cell. The calculation puts the formation energy from raw total energies at -0.4377 eV/atom. The polymorph energy (0 for the lowest one) comes out at 0.0 kJ/mol of atoms. Its crystal system is triclinic.



No. 2
Density functional theory data (PBE) for a geometry-optimized PrY3Ho6 structure.

Lattice parameters (Å, degrees): 10.9860 10.9860 6.1704 90.00 90.00 119.44
Fractional positions:
Pr 0.2077 0.7923 0.5000
Pr 0.7923 0.2077 0.0000
Y 0.0648 0.2811 0.6915
Y 0.2811 0.0648 0.1915
Y 0.3910 0.6090 0.5834
Y 0.6090 0.3910 0.0834
Y 0.7189 0.9352 0.6915
Y 0.9352 0.7189 0.1915
Ho 0.0365 0.4594 0.2849
Ho 0.0472 0.9528 0.7296
Ho 0.2846 0.7154 0.0143
Ho 0.2874 0.3827 0.1244
Ho 0.3827 0.2874 0.6244
Ho 0.4594 0.0365 0.7849
Ho 0.5406 0.9635 0.2849
Ho 0.6173 0.7126 0.1244
Ho 0.7126 0.6173 0.6244
Ho 0.7154 0.2846 0.5143
Ho 0.9528 0.0472 0.2296
Ho 0.9635 0.5406 0.7849

The total magnetization comes out at 0.000 μB/cell. For the formation energy, the calculation gives 0.14 eV per atom. The polymorph energy (0 for the lowest one) comes out at 0.0 kJ/mol of atoms. Its crystal system is orthorhombic. The density of states at the Fermi level is 28.16 states/eV per cell.



No. 3
Density functional theory data (PBE) for a geometry-optimized SiAg2F structure.

Lattice parameters (Å, degrees): 4.4471 4.4471 4.4471 60.00 60.00 60.00
Fractional positions:
Si 0.0000 0.0000 0.0000
Ag 0.2500 0.2500 0.2500
Ag 0.7500 0.7500 0.7500
F 0.5000 0.5000 0.5000

The total magnetization comes out at 0.000 μB/cell. The calculation puts the formation energy from raw total energies at -0.1519 eV/atom. The polymorph energy (0 for the lowest one) comes out at 7.0 kJ/mol of atoms. Its crystal system is cubic. The density of states at the Fermi level is 1.82 states/eV per cell.



No. 4
Density functional theory data (PBE) for a geometry-optimized KBaH structure.

Lattice parameters (Å, degrees): 4.4990 4.4990 13.2506 90.00 90.00 90.00
Fractional positions:
K 0.2500 0.2500 0.1295
K 0.7500 0.7500 0.8705
Ba 0.2500 0.2500 0.6045
Ba 0.7500 0.7500 0.3955
H 0.2500 0.7500 0.5000
H 0.7500 0.2500 0.5000

The total magnetization comes out at 0.186 μB/cell. The polymorph energy (0 for the lowest one) comes out at 0.0 kJ/mol of atoms. Its crystal system is tetragonal. The density of states at the Fermi level is 5.05 states/eV per cell.



No. 5
Density functional theory data (PBE) for a geometry-optimized NaLa2Hf structure.

Lattice parameters (Å, degrees): 3.4496 3.4496 10.8933 90.00 90.00 90.00
Fractional positions:
Na 0.0000 0.0000 0.0000
La 0.5000 0.5000 0.2847
La 0.5000 0.5000 0.7153
Hf 0.0000 0.0000 0.5000

The total magnetization comes out at 0.000 μB/cell. For the formation energy, the calculation gives 0.16 eV per atom. The polymorph energy (0 for the lowest one) comes out at 0.0 kJ/mol of atoms. Its crystal system is tetragonal. The density of states at the Fermi level is 5.27 states/eV per cell.



No. 6
Density functional theory data (PBE) for a geometry-optimized HoCd11Hg structure.

Lattice parameters (Å, degrees): 7.6355 7.6355 7.6293 98.84 98.84 133.45
Fractional positions:
Ho 0.0000 0.0000 0.0000
Cd 0.0000 0.0000 0.5000
Cd 0.0000 0.5000 0.0000
Cd 0.0031 0.6520 0.6508
Cd 0.2843 0.4968 0.7884
Cd 0.3480 0.9969 0.3492
Cd 0.4968 0.2843 0.7884
Cd 0.5000 0.0000 0.0000
Cd 0.5032 0.7157 0.2116
Cd 0.6520 0.0031 0.6508
Cd 0.7157 0.5032 0.2116
Cd 0.9969 0.3480 0.3492
Hg 0.5000 0.5000 0.5000

The total magnetization comes out at 0.000 μB/cell. For the formation energy, the calculation gives -0.05 eV per atom. Its crystal system is monoclinic. The density of states at the Fermi level is 2.24 states/eV per cell.